[1]
Here is a geometry-optimized SrCoTeO structure from OQMD. Energies are from PBE with a Hubbard U.

Cell: 6.6599 7.4207 7.6079 Å, 90.00 90.00 90.00°
Sites, in units of the cell vectors:
Sr (0.9058, 0.3466, 0.6630)
Co (0.6191, 0.3209, 0.3151)
Co (0.1191, 0.6791, 0.1849)
Te (0.7117, 0.0261, 0.9170)
O (0.2241, 0.3593, 0.8895)
Sr (0.5943, 0.8466, 0.3370)
O (0.2759, 0.8593, 0.1105)
Sr (0.0942, 0.1534, 0.1630)
Sr (0.4058, 0.6534, 0.8370)
Te (0.2117, 0.9739, 0.5830)
Te (0.7883, 0.5261, 0.0830)
Te (0.2883, 0.4739, 0.4170)
Co (0.3809, 0.1791, 0.8151)
Co (0.8809, 0.8209, 0.6849)
O (0.7241, 0.6407, 0.6105)
O (0.7759, 0.1407, 0.3895)

[2]
Here is a geometry-optimized SrCoTeO structure from OQMD. Energies are from PBE with a Hubbard U.

Cell: 7.5462 3.6556 13.0738 Å, 90.00 90.00 90.00°
Sites, in units of the cell vectors:
Co (0.2044, 0.7500, 0.0687)
Sr (0.5456, 0.2500, 0.2234)
Sr (0.9544, 0.7500, 0.7234)
Co (0.7956, 0.2500, 0.9313)
Te (0.1683, 0.2500, 0.9054)
O (0.2340, 0.7500, 0.6378)
Co (0.7044, 0.7500, 0.4313)
O (0.2660, 0.2500, 0.1378)
O (0.7660, 0.2500, 0.3622)
Te (0.6683, 0.2500, 0.5946)
Te (0.3317, 0.7500, 0.4054)
Te (0.8317, 0.7500, 0.0946)
Sr (0.4544, 0.7500, 0.7766)
Co (0.2956, 0.2500, 0.5687)
O (0.7340, 0.7500, 0.8622)
Sr (0.0456, 0.2500, 0.2766)

[3]
Here is a geometry-optimized SrCoTeO structure from OQMD. Energies are from PBE with a Hubbard U.

Cell: 7.2381 7.2381 6.4408 Å, 90.00 90.00 145.98°
Sites, in units of the cell vectors:
Te (0.6517, 0.3483, 0.4934)
O (0.9390, 0.0610, 0.5470)
Sr (0.6476, 0.3524, 0.9956)
Te (0.3483, 0.6517, 0.9934)
Co (0.0480, 0.9520, 0.3566)
Co (0.9520, 0.0480, 0.8566)
O (0.0610, 0.9390, 0.0470)
Sr (0.3524, 0.6476, 0.4956)

[4]
Here is a geometry-optimized Sr2CoTeO6 structure from OQMD. Energies are from PBE with a Hubbard U.

Cell: 5.6704 5.6118 7.8966 Å, 90.00 89.91 90.00°
Sites, in units of the cell vectors:
O (0.2479, 0.2293, 0.5344)
O (0.7521, 0.7707, 0.4656)
Co (0.5000, 0.0000, 0.0000)
Sr (0.4958, 0.4867, 0.7501)
O (0.9352, 0.5029, 0.7587)
Te (0.5000, 0.0000, 0.5000)
Co (0.0000, 0.5000, 0.5000)
Sr (0.0042, 0.9867, 0.7499)
Sr (0.9958, 0.0133, 0.2501)
O (0.7742, 0.7555, 0.0336)
O (0.2742, 0.7445, 0.5336)
O (0.2258, 0.2445, 0.9664)
O (0.7479, 0.2707, 0.0344)
O (0.5648, 0.0029, 0.7413)
O (0.7258, 0.2555, 0.4664)
Te (0.0000, 0.5000, 0.0000)
Sr (0.5042, 0.5133, 0.2499)
O (0.0648, 0.4971, 0.2413)
O (0.2521, 0.7293, 0.9656)
O (0.4352, 0.9971, 0.2587)

[5]
Here is a geometry-optimized SrCoTeO structure from OQMD. Energies are from PBE with a Hubbard U.

Cell: 6.3997 8.4310 13.9980 Å, 90.00 90.00 90.00°
Sites, in units of the cell vectors:
Te (0.7470, 0.1248, 0.5861)
Sr (0.2533, 0.6237, 0.6115)
O (0.1755, 0.1259, 0.1965)
Sr (0.7467, 0.1237, 0.8885)
O (0.8245, 0.6259, 0.3035)
Sr (0.2467, 0.1237, 0.6115)
Te (0.7530, 0.6248, 0.5861)
Sr (0.2467, 0.3763, 0.1115)
Co (0.1371, 0.6261, 0.3056)
Sr (0.2533, 0.8763, 0.1115)
Co (0.3629, 0.3739, 0.8056)
O (0.1755, 0.3741, 0.6965)
Co (0.6371, 0.8739, 0.6944)
Te (0.2470, 0.1248, 0.9139)
O (0.6755, 0.3741, 0.8035)
Co (0.6371, 0.6261, 0.1944)
O (0.8245, 0.8741, 0.8035)
O (0.6755, 0.1259, 0.3035)
O (0.3245, 0.8741, 0.6965)
Te (0.2530, 0.6248, 0.9139)
Co (0.3629, 0.1261, 0.3056)
Sr (0.7533, 0.6237, 0.8885)
Te (0.7530, 0.8752, 0.0861)
Co (0.1371, 0.8739, 0.8056)
O (0.3245, 0.6259, 0.1965)
Sr (0.7533, 0.8763, 0.3885)
Te (0.2470, 0.3752, 0.4139)
Co (0.8629, 0.3739, 0.6944)
Te (0.7470, 0.3752, 0.0861)
Sr (0.7467, 0.3763, 0.3885)
Co (0.8629, 0.1261, 0.1944)
Te (0.2530, 0.8752, 0.4139)

[6]
Here is a geometry-optimized SrCoTeO structure from OQMD. Energies are from PBE with a Hubbard U.

Cell: 6.7362 6.7362 7.4337 Å, 90.00 90.00 31.56°
Sites, in units of the cell vectors:
O (0.1060, 0.1060, 0.4890)
Sr (0.0354, 0.0354, 0.1939)
Te (0.6645, 0.6645, 0.9003)
Te (0.3355, 0.3355, 0.4003)
Co (0.3183, 0.3183, 0.0243)
Sr (0.9646, 0.9646, 0.6939)
O (0.8940, 0.8940, 0.9890)
Co (0.6817, 0.6817, 0.5243)

[7]
Here is a geometry-optimized SrCoTeO structure from OQMD. Energies are from PBE with a Hubbard U.

Cell: 4.5857 4.5857 8.4109 Å, 90.00 90.00 90.00°
Sites, in units of the cell vectors:
Te (0.5000, 0.0000, 0.5000)
O (0.0000, 0.0000, 0.8962)
O (0.5000, 0.5000, 0.1038)
Sr (0.5000, 0.5000, 0.8326)
Co (0.0000, 0.0000, 0.6816)
Te (0.0000, 0.5000, 0.5000)
Sr (0.0000, 0.0000, 0.1674)
Co (0.5000, 0.5000, 0.3184)

[8]
Here is a geometry-optimized SrCoTeO structure from OQMD. Energies are from PBE with a Hubbard U.

Cell: 6.4289 9.4182 6.2317 Å, 90.00 90.00 90.00°
Sites, in units of the cell vectors:
Sr (0.0033, 0.3025, 0.0740)
O (0.1083, 0.0531, 0.1289)
Co (0.6096, 0.9415, 0.4761)
O (0.6083, 0.9469, 0.1289)
Sr (0.5033, 0.6975, 0.0740)
Te (0.4968, 0.6683, 0.5710)
Co (0.1096, 0.0585, 0.4761)
Te (0.9968, 0.3317, 0.5710)
Sr (0.9967, 0.6975, 0.5740)
Co (0.3904, 0.0585, 0.9761)
Te (0.5032, 0.3317, 0.0710)
O (0.8917, 0.9469, 0.6289)
O (0.3917, 0.0531, 0.6289)
Sr (0.4967, 0.3025, 0.5740)
Te (0.0032, 0.6683, 0.0710)
Co (0.8904, 0.9415, 0.9761)

| no. | calculated total energy (eV/atom) | total magnetic moment (μB/cell) |
| --- | --- | --- |
| 1 | -4.885 | 12.0 |
| 2 | -4.780 | 11.8 |
| 3 | -5.079 | 6.0 |
| 4 | -6.058 | 6.0 |
| 5 | -5.071 | 24.0 |
| 6 | -4.758 | 5.9 |
| 7 | -4.725 | 4.1 |
| 8 | -4.726 | 4.0 |